[1]
! K3AuI2, optimized geometry, DFT GGA-PBE; values from VASP
&SYSTEM
  ibrav = 0, nat = 12, ntyp = 3
/
ATOMIC_SPECIES
K 39.10 K.upf
Au 196.97 Au.upf
I 126.90 I.upf
ATOMIC_POSITIONS crystal
K 0.0000 0.0000 0.0000
K 0.0000 0.0000 0.3367
K 0.0000 0.0000 0.6633
K 0.5000 0.5000 0.1633
K 0.5000 0.5000 0.5000
K 0.5000 0.5000 0.8367
Au 0.0000 0.0000 0.5000
Au 0.5000 0.5000 0.0000
I 0.0000 0.0000 0.1666
I 0.0000 0.0000 0.8334
I 0.5000 0.5000 0.3334
I 0.5000 0.5000 0.6666
CELL_PARAMETERS angstrom
4.9927 0.0000 0.0000
0.0000 4.9927 0.0000
0.0000 0.0000 21.1562
! - Electronic total energy: -2.68 eV/atom
! - ΔE_f (raw): -1.0686 eV/atom
! - Mass density: 3.58 g/cm3



[2]
! Ce2Sm2Ga3, optimized geometry, DFT GGA-PBE; values from VASP
&SYSTEM
  ibrav = 0, nat = 14, ntyp = 3
/
ATOMIC_SPECIES
Ce 140.12 Ce.upf
Sm 150.36 Sm.upf
Ga 69.72 Ga.upf
ATOMIC_POSITIONS crystal
Ce 0.0000 0.2116 0.0000
Ce 0.0000 0.7884 0.0000
Ce 0.5000 0.2884 0.0000
Ce 0.5000 0.7116 0.0000
Sm 0.0000 0.0721 0.0000
Sm 0.0000 0.9279 0.0000
Sm 0.5000 0.4279 0.0000
Sm 0.5000 0.5721 0.0000
Ga 0.0000 0.3573 0.5000
Ga 0.0000 0.5000 0.5000
Ga 0.0000 0.6427 0.5000
Ga 0.5000 0.0000 0.5000
Ga 0.5000 0.1427 0.5000
Ga 0.5000 0.8573 0.5000
CELL_PARAMETERS angstrom
4.1359 0.0000 0.0000
0.0000 24.0498 0.0000
0.0000 0.0000 3.3840
! - Electronic total energy: -4.75 eV/atom
! - Mass density: 7.80 g/cm3
! - Calculated formation energy: -0.411 eV/atom
! - Energy above the lowest structure with this stoichiometry: 0.000 eV/f.u.



[3]
! HgSbRh2, optimized geometry, DFT GGA-PBE; values from VASP
&SYSTEM
  ibrav = 0, nat = 4, ntyp = 3
/
ATOMIC_SPECIES
Hg 200.59 Hg.upf
Sb 121.76 Sb.upf
Rh 102.91 Rh.upf
ATOMIC_POSITIONS crystal
Hg 0.0000 0.0000 0.0000
Sb 0.5000 0.5000 0.6056
Rh 0.0000 0.0000 0.4905
Rh 0.5000 0.5000 0.1155
CELL_PARAMETERS angstrom
3.1805 0.0000 0.0000
0.0000 4.3001 0.0000
0.0000 0.0000 5.4347
! - Electronic total energy: -4.78 eV/atom
! - ΔE_f (raw): 0.0021 eV/atom
! - Mass density: 11.80 g/cm3
! - Energy above the lowest structure with this stoichiometry: 0.485 eV/f.u.